[1]
Below is an optimized crystal structure of WBrN2F, with properties calculated at the PBE with a Hubbard U level.

abc: 4.188 4.188 3.985
angles: 90.00 90.00 90.00
Space group P4/mmm (No. 123)
One atom of each set of equivalent atoms:
W 0.000 0.000 0.000 [1 per cell]
Br 0.500 0.500 0.500 [1 per cell]
N 0.000 0.500 0.500 [2 per cell]
F 0.500 0.500 0.000 [1 per cell]

---

[2]
Below is an optimized crystal structure of WBrNF2, with properties calculated at the PBE with a Hubbard U level.

abc: 4.972 4.972 3.629
angles: 90.00 90.00 90.00
Space group P4/mmm (No. 123)
One atom of each set of equivalent atoms:
W 0.000 0.000 0.000 [1 per cell]
Br 0.500 0.500 0.500 [1 per cell]
N 0.500 0.500 0.000 [1 per cell]
F 0.000 0.500 0.500 [2 per cell]

---

[3]
Below is an optimized crystal structure of WBrN2F, with properties calculated at the PBE with a Hubbard U level.

abc: 4.092 4.092 4.209
angles: 90.00 90.00 90.00
Space group P4/mmm (No. 123)
One atom of each set of equivalent atoms:
W 0.000 0.000 0.000 [1 per cell]
Br 0.500 0.500 0.500 [1 per cell]
N 0.000 0.500 0.000 [2 per cell]
F 0.000 0.000 0.500 [1 per cell]

---

[4]
Below is an optimized crystal structure of WBrNF2, with properties calculated at the PBE with a Hubbard U level.

abc: 4.217 4.217 4.095
angles: 90.00 90.00 90.00
Space group P4/mmm (No. 123)
One atom of each set of equivalent atoms:
W 0.000 0.000 0.000 [1 per cell]
Br 0.500 0.500 0.500 [1 per cell]
N 0.000 0.000 0.500 [1 per cell]
F 0.000 0.500 0.000 [2 per cell]

---

Looking at calculated volume for the records above, in order, we have 14.0, 17.9, 14.1, 14.6 A^3/atom.
Looking at offset from the most stable computed form for the records above, in order, we have 1570.7, 1767.6, 0.0, 0.0 meV/atom.